Entry 1:
This record from Alexandria via LeMat-Bulk describes crystalline SrCd12 at its relaxed geometry. The functional is GGA-PBE.

Cell: 10.1508 10.1508 6.0033 Å, 90.00 90.00 90.00°
Space group I4/mmm (No. 139)
Unique sites:
Sr: 0.0000 0.0000 0.0000
Cd: 0.0000 0.2155 0.5000
Cd: 0.0000 0.3542 0.0000
Cd: 0.2500 0.2500 0.2500

Values from the calculation:
**Calculated volume**: 619 Å³ per cell
**ΔE_f**: -0.116 eV per atom
**Total moment**: 0.00 μB per cell
**D(E_F)**: 8.91 states/eV per cell

Entry 2:
This record from Alexandria via LeMat-Bulk describes crystalline SrCd4 at its relaxed geometry. The functional is GGA-PBE.

Cell: 4.6089 4.6089 12.9656 Å, 90.00 90.00 90.00°
Space group I4/mmm (No. 139)
Unique sites:
Sr: 0.0000 0.0000 0.0000
Cd: 0.0000 0.0000 0.3915
Cd: 0.0000 0.5000 0.2500

Values from the calculation:
**Calculated volume**: 275 Å³ per cell
**ΔE_f**: -0.244 eV per atom
**Total moment**: 0.00 μB per cell
**D(E_F)**: 5.65 states/eV per cell

Entry 3:
This record from Alexandria via LeMat-Bulk describes crystalline Sr2Cd at its relaxed geometry. The functional is GGA-PBE.

Cell: 31.1185 4.0351 4.0358 Å, 90.00 97.41 90.00°
Space group C2/m (No. 12)
Unique sites:
Sr: 0.0603 0.0000 0.3104
Sr: 0.1896 0.0000 0.4395
Cd: 0.1249 0.5000 0.8749

Values from the calculation:
**Calculated volume**: 503 Å³ per cell
**ΔE_f**: -0.171 eV per atom
**Total moment**: 0.00 μB per cell
**D(E_F)**: 10.27 states/eV per cell

Entry 4:
This record from Alexandria via LeMat-Bulk describes crystalline Sr2Cd at its relaxed geometry. The functional is GGA-PBE.

Cell: 8.2934 8.2934 7.2761 Å, 90.00 90.00 90.00°
Space group I4/mcm (No. 140)
Unique sites:
Sr: 0.1732 0.3268 0.0000
Cd: 0.0000 0.0000 0.2500

Values from the calculation:
**Calculated volume**: 500 Å³ per cell
**ΔE_f**: -0.218 eV per atom
**Total moment**: 0.00 μB per cell
**D(E_F)**: 11.65 states/eV per cell

Entry 5:
This record from Alexandria via LeMat-Bulk describes crystalline Sr4Cd at its relaxed geometry. The functional is GGA-PBE.

Cell: 6.4365 6.4365 6.4365 Å, 90.00 90.00 90.00°
Space group Pm-3m (No. 221)
Unique sites:
Sr: 0.0000 0.0000 0.0000
Sr: 0.0000 0.5000 0.5000
Cd: 0.5000 0.5000 0.5000

Values from the calculation:
**Calculated volume**: 267 Å³ per cell
**ΔE_f**: -0.012 eV per atom
**Total moment**: 0.01 μB per cell
**D(E_F)**: 8.03 states/eV per cell

Entry 6:
This record from Alexandria via LeMat-Bulk describes crystalline Sr3Cd at its relaxed geometry. The functional is GGA-PBE.

Cell: 5.4519 5.4519 11.6341 Å, 90.00 90.00 90.00°
Space group I4/mmm (No. 139)
Unique sites:
Sr: 0.0000 0.0000 0.0000
Sr: 0.0000 0.5000 0.2500
Cd: 0.0000 0.0000 0.5000

Values from the calculation:
**Calculated volume**: 346 Å³ per cell
**ΔE_f**: -0.029 eV per atom
**Total moment**: 0.00 μB per cell
**D(E_F)**: 10.02 states/eV per cell